Below is a geometry-optimized Ca2AsPt structure, with properties calculated at the GGA-PBE level.

Cell: 7.783 7.783 6.382 Å, 52.42 52.42 90.00°
Sites, in units of the cell vectors:
As  0.500  0.500  0.000
As  0.250  0.750  0.500
Ca  0.633  0.125  0.250
Ca  0.117  0.625  0.250
Ca  0.375  0.367  0.750
Ca  0.875  0.883  0.750
Pt  0.000  0.000  0.000
Pt  0.750  0.250  0.500

- E_tot (eV/atom) = -4.299
- V (Å³/atom) = 24.462